No. 1
An optimized crystal structure of CdCo2As, computed with PBE.

a b c (Å): 2.9262 2.9262 23.3566
angles (deg): 90.00 90.00 120.00
With the nearest neighbours (Å) after each atom.
Space group R-3m (No. 166, hexagonal axes)
Inequivalent atoms, fractional coordinates:
Cd 0.0000 0.0000 0.0000 x3  6 Co 2.80, 6 Cd 2.93
Co 0.0000 0.0000 0.2378 x6  3 As 2.37
As 0.0000 0.0000 0.5000 x3  6 Co 2.37

Results
Its formation energy is 0.17 eV per atom. For the total energy, the calculation gives -4.769 eV/atom. The mass density is 8.778 Mg/m³. For the volume, the calculation gives 173 Å³ per cell. The calculation puts the magnetization at 0.1992 μB per atom.

No. 2
An optimized crystal structure of Pm2ErTm5Sc, computed with PBE.

a b c (Å): 8.4176 8.4176 15.5421
angles (deg): 90.00 90.00 90.00
With the nearest neighbours (Å) after each atom.
Space group I4/mcm (No. 140)
Inequivalent atoms, fractional coordinates:
Pm 0.1193 0.3807 0.0000 x8  1 Pm 2.84, 2 Tm 3.01
Er 0.0000 0.0000 0.2500 x4  8 Tm 3.44
Tm 0.0000 0.0000 0.0000 x4  4 Pm 3.36, 8 Tm 3.74
Tm 0.2102 0.2898 0.3571 x16  1 Sc 3.01, 1 Pm 3.01
Sc 0.0000 0.5000 0.2500 x4  4 Tm 3.01

Results
Its formation energy is 0.28 eV per atom. For the total energy, the calculation gives -4.471 eV/atom. The mass density is 8.124 Mg/m³. For the volume, the calculation gives 1101 Å³ per cell. The calculation puts the magnetization at 0.0000 μB per atom.

No. 3
An optimized crystal structure of AcTb2SmAs4, computed with PBE.

a b c (Å): 7.3863 4.2667 7.3904
angles (deg): 90.00 109.41 90.00
With the nearest neighbours (Å) after each atom.
Space group P2/m (No. 10)
Inequivalent atoms, fractional coordinates:
Ac 0.0000 0.0000 0.0000 x1  6 As 3.10-3.11
Tb 0.5000 0.0000 0.5000 x1  6 As 2.93
Tb 0.5000 0.5000 0.0000 x1  6 As 3.00
Sm 0.0000 0.5000 0.5000 x1  6 As 3.04
As 0.2603 0.0000 0.7459 x2  3 Tb 2.93-3.00, 2 Sm 3.04, 1 Ac 3.10
As 0.2664 0.5000 0.2633 x2  3 Tb 2.93-3.00, 1 Sm 3.04, 2 Ac 3.11

Results
Its formation energy is -1.49 eV per atom. For the total energy, the calculation gives -6.074 eV/atom. The mass density is 7.521 Mg/m³. For the volume, the calculation gives 220 Å³ per cell. The calculation puts the magnetization at 0.0000 μB per atom.

No. 4
An optimized crystal structure of Sm5Ho12Er2, computed with PBE.

a b c (Å): 15.5211 9.2428 8.5893
angles (deg): 90.00 92.11 90.00
With the nearest neighbours (Å) after each atom.
Space group C2/m (No. 12)
Inequivalent atoms, fractional coordinates:
Sm 0.0000 0.0000 0.0000 x2  10 Ho 3.38-3.76, 2 Sm 3.61
Sm 0.2063 0.5000 0.5200 x4  8 Ho 3.49-3.65, 2 Er 3.58, 1 Sm 3.61
Sm 0.2306 0.0000 0.0710 x4  8 Ho 3.37-3.63, 2 Sm 3.61
Ho 0.0568 0.5000 0.8358 x4  2 Sm 3.37-3.63, 7 Ho 3.38-3.52, 2 Er 3.39
Ho 0.0740 0.0000 0.3749 x4  3 Ho 3.20-3.48, 2 Sm 3.38-3.49, 2 Er 3.42
Ho 0.1293 0.3093 0.1696 x8  5 Ho 3.38-3.53, 4 Sm 3.38-3.76, 1 Er 3.54
Ho 0.1481 0.1794 0.7391 x8  4 Ho 3.32-3.69, 1 Er 3.32, 4 Sm 3.50-3.67
Er 0.0000 0.3271 0.5000 x4  1 Er 3.20, 8 Ho 3.32-3.54, 2 Sm 3.58

Results
Its formation energy is 0.12 eV per atom. For the total energy, the calculation gives -4.493 eV/atom. The mass density is 8.268 Mg/m³. For the volume, the calculation gives 1231 Å³ per cell. The calculation puts the magnetization at 0.0000 μB per atom.

No. 5
An optimized crystal structure of KCa2GaSe4, computed with PBE.

a b c (Å): 8.5529 8.6479 11.8744
angles (deg): 90.00 90.00 90.00
With the nearest neighbours (Å) after each atom.
Space group Imma (No. 74)
Inequivalent atoms, fractional coordinates:
K 0.2500 0.2500 0.2500 x4  6 Se 3.08-3.19
Ca 0.0000 0.0000 0.0000 x4  4 Se 2.95
Ca 0.2500 0.2500 0.7500 x4  6 Se 2.87-2.99
Ga 0.0000 0.0000 0.5000 x4  2 Se 2.42
Se 0.0000 0.0162 0.7038 x8  1 Ga 2.42
Se 0.2346 0.2500 0.9910 x8  3 Ca 2.87-2.95, 1 K 3.08, 2 Ga 3.14

Results
For the total energy, the calculation gives -3.983 eV/atom. The mass density is 3.818 Mg/m³. For the raw formation energy, the calculation gives -1.2244 eV/atom. For the volume, the calculation gives 878 Å³ per cell. The calculation puts the magnetization at 0.0000 μB per atom.

No. 6
An optimized crystal structure of Na3Ag2OsO6, computed with PBE.

a b c (Å): 6.2706 9.9301 5.7263
angles (deg): 90.00 115.77 90.00
With the nearest neighbours (Å) after each atom.
Space group C2/m (No. 12)
Inequivalent atoms, fractional coordinates:
Na 0.0000 0.0000 0.0000 x2  4 O 2.31
Na 0.0000 0.3246 0.0000 x4  6 O 2.41-2.62
Ag 0.0000 0.1605 0.5000 x4  4 O 2.36-2.41
Os 0.0000 0.5000 0.5000 x2  6 O 1.91-1.93
O 0.1929 0.5000 0.3170 x4  1 Os 1.91
O 0.1985 0.3614 0.7283 x8  1 Os 1.93

Results
For the total energy, the calculation gives -5.193 eV/atom. The mass density is 5.905 Mg/m³. For the raw formation energy, the calculation gives -0.9729 eV/atom. For the volume, the calculation gives 321 Å³ per cell. The calculation puts the magnetization at 0.0000 μB per atom.

No. 7
An optimized crystal structure of Cd2Au5, computed with PBE.

a b c (Å): 9.4624 4.2066 6.6543
angles (deg): 90.00 98.01 90.00
With the nearest neighbours (Å) after each atom.
Space group C2/m (No. 12)
Inequivalent atoms, fractional coordinates:
Cd 0.0772 0.0000 0.2186 x4  11 Au 2.94-3.01, 1 Cd 3.07
Au 0.0000 0.5000 0.5000 x2  8 Au 2.95-3.01, 4 Cd 2.97
Au 0.1394 0.5000 0.9257 x4  7 Au 2.94-3.03, 5 Cd 2.97-3.00
Au 0.2123 0.0000 0.6441 x4  4 Cd 2.94-3.01, 8 Au 2.96-3.01

Results
Its formation energy is -0.13 eV per atom. For the total energy, the calculation gives -2.732 eV/atom. The mass density is 15.317 Mg/m³. For the volume, the calculation gives 262 Å³ per cell. The calculation puts the magnetization at 0.0000 μB per atom.

No. 8
An optimized crystal structure of Sr2Zn7Ag, computed with PBE.

a b c (Å): 4.2723 4.2723 11.5512
angles (deg): 90.00 90.00 90.00
With the nearest neighbours (Å) after each atom.
Space group P-4m2 (No. 115)
Inequivalent atoms, fractional coordinates:
Sr 0.0000 0.5000 0.2478 x2  14 Zn 3.29-3.61, 2 Ag 3.61
Zn 0.0000 0.0000 0.0000 x1  4 Zn 2.65
Zn 0.0000 0.5000 0.6390 x2  3 Zn 2.60-2.67, 2 Ag 2.67
Zn 0.0000 0.5000 0.8642 x2  5 Zn 2.60-2.65
Zn 0.5000 0.5000 0.0000 x1  4 Zn 2.65
Zn 0.5000 0.5000 0.5000 x1  4 Zn 2.67
Ag 0.0000 0.0000 0.5000 x1  4 Zn 2.67

Results
Its formation energy is -0.22 eV per atom. For the total energy, the calculation gives -1.729 eV/atom. The mass density is 5.836 Mg/m³. For the volume, the calculation gives 211 Å³ per cell. The calculation puts the magnetization at 0.0000 μB per atom.

No. 9
An optimized crystal structure of ReSi2Ir2, computed with PBE.

a b c (Å): 7.0742 7.0742 2.7491
angles (deg): 90.00 90.00 90.00
With the nearest neighbours (Å) after each atom.
Space group P4/mbm (No. 127)
Inequivalent atoms, fractional coordinates:
Re 0.0000 0.0000 0.0000 x2  4 Si 2.69, 2 Re 2.75
Si 0.1513 0.3487 0.0000 x4  6 Ir 2.43-2.53, 2 Re 2.69
Ir 0.1487 0.6487 0.5000 x4  6 Si 2.43-2.53

Results
For the total energy, the calculation gives -8.468 eV/atom. The mass density is 15.131 Mg/m³. For the raw formation energy, the calculation gives -0.2650 eV/atom. For the volume, the calculation gives 138 Å³ per cell. The calculation puts the magnetization at 0.0000 μB per atom.

No. 10
An optimized crystal structure of Dy3TmIn3, computed with PBE.

a b c (Å): 9.2853 9.2853 9.2853
angles (deg): 90.00 90.00 90.00
With the nearest neighbours (Å) after each atom.
Space group P2_13 (No. 198)
Inequivalent atoms, fractional coordinates:
Dy 0.0705 0.4295 0.5705 x4  6 In 3.14-3.30
Dy 0.1741 0.8259 0.3259 x4  6 In 3.13-3.30
Dy 0.1753 0.1753 0.1753 x4  6 In 3.13-3.32
Tm 0.0784 0.5784 0.9216 x4  6 In 3.12-3.27
In 0.0017 0.2550 0.8728 x12  2 Tm 3.12-3.27, 6 Dy 3.13-3.32

Results
Its formation energy is -0.30 eV per atom. For the total energy, the calculation gives -4.089 eV/atom. The mass density is 8.304 Mg/m³. For the volume, the calculation gives 801 Å³ per cell. The calculation puts the magnetization at 0.0000 μB per atom.

No. 11
An optimized crystal structure of TiZn3Si, computed with PBE.

a b c (Å): 4.9249 4.9249 4.9249
angles (deg): 90.00 90.00 90.00
With the nearest neighbours (Å) after each atom.
Space group Pm-3m (No. 221)
Inequivalent atoms, fractional coordinates:
Ti 0.0000 0.0000 0.0000 x1  6 Zn 2.46
Zn 0.0000 0.0000 0.5000 x3  2 Ti 2.46
Si 0.5000 0.5000 0.5000 x1  12 Zn 3.48

Results
For the total energy, the calculation gives -2.292 eV/atom. The mass density is 3.784 Mg/m³. For the raw formation energy, the calculation gives 1.1355 eV/atom. For the volume, the calculation gives 119 Å³ per cell. The calculation puts the magnetization at 0.2556 μB per atom.

No. 12
An optimized crystal structure of Pm2Ga4Ni3Pd, computed with PBE.

a b c (Å): 4.2326 4.2326 9.7969
angles (deg): 90.00 90.00 90.00
With the nearest neighbours (Å) after each atom.
Space group P-4m2 (No. 115)
Inequivalent atoms, fractional coordinates:
Pm 0.0000 0.5000 0.2468 x2  8 Ga 3.21, 6 Ni 3.22-3.26, 2 Pd 3.26
Ga 0.0000 0.0000 0.0000 x1  4 Ni 2.44
Ga 0.0000 0.5000 0.6345 x2  3 Ni 2.36-2.49, 2 Pd 2.49
Ga 0.5000 0.5000 0.0000 x1  4 Ni 2.44
Ni 0.0000 0.5000 0.8756 x2  5 Ga 2.36-2.44
Ni 0.5000 0.5000 0.5000 x1  4 Ga 2.49
Pd 0.0000 0.0000 0.5000 x1  4 Ga 2.49

Results
Its formation energy is -0.62 eV per atom. For the total energy, the calculation gives -5.038 eV/atom. The mass density is 8.055 Mg/m³. For the volume, the calculation gives 176 Å³ per cell. The calculation puts the magnetization at 0.0000 μB per atom.

No. 13
An optimized crystal structure of Pr2PuGe3, computed with PBE.

a b c (Å): 4.2934 6.0263 12.8240
angles (deg): 90.00 90.00 90.00
With the nearest neighbours (Å) after each atom.
Space group Immm (No. 71)
Inequivalent atoms, fractional coordinates:
Pr 0.0000 0.0000 0.1714 x4  6 Ge 3.02-3.11
Pu 0.0000 0.0000 0.5000 x2  6 Ge 2.91-3.01
Ge 0.0000 0.5000 0.1528 x4  2 Pu 2.91, 4 Pr 3.02-3.11
Ge 0.0000 0.5000 0.5000 x2  2 Pu 3.01, 4 Pr 3.07

Results
Its formation energy is -0.49 eV per atom. For the total energy, the calculation gives -6.782 eV/atom. The mass density is 7.444 Mg/m³. For the volume, the calculation gives 332 Å³ per cell. The calculation puts the magnetization at 0.7872 μB per atom.

No. 14
An optimized crystal structure of CaPaAlHg, computed with PBE.

a b c (Å): 7.4099 7.4099 7.4099
angles (deg): 90.00 90.00 90.00
With the nearest neighbours (Å) after each atom.
Space group F-43m (No. 216)
Inequivalent atoms, fractional coordinates:
Ca 0.0000 0.0000 0.0000 x4  4 Hg 3.21, 4 Al 3.21
Pa 0.0000 0.0000 0.5000 x4  4 Hg 3.21, 4 Al 3.21
Al 0.2500 0.2500 0.2500 x4  4 Pa 3.21, 4 Ca 3.21
Hg 0.2500 0.2500 0.7500 x4  4 Ca 3.21, 4 Pa 3.21

Results
Its formation energy is 0.01 eV per atom. For the total energy, the calculation gives -3.880 eV/atom. The mass density is 8.141 Mg/m³. For the volume, the calculation gives 407 Å³ per cell. The calculation puts the magnetization at 0.2240 μB per atom.

No. 15
An optimized crystal structure of MnRuRhPb, computed with PBE.

a b c (Å): 6.3718 6.3718 6.3718
angles (deg): 90.00 90.00 90.00
With the nearest neighbours (Å) after each atom.
Space group F-43m (No. 216)
Inequivalent atoms, fractional coordinates:
Mn 0.0000 0.0000 0.0000 x4  4 Ru 2.76, 4 Rh 2.76
Ru 0.2500 0.2500 0.2500 x4  4 Mn 2.76, 4 Pb 2.76
Rh 0.2500 0.2500 0.7500 x4  4 Mn 2.76, 4 Pb 2.76
Pb 0.0000 0.0000 0.5000 x4  4 Ru 2.76, 4 Rh 2.76

Results
Its formation energy is 0.09 eV per atom. For the total energy, the calculation gives -7.290 eV/atom. The mass density is 11.968 Mg/m³. For the volume, the calculation gives 259 Å³ per cell. The calculation puts the magnetization at 1.0362 μB per atom.

No. 16
An optimized crystal structure of SrIn2SnS, computed with PBE.

a b c (Å): 5.6768 5.6768 5.3905
angles (deg): 90.00 90.00 90.00
With the nearest neighbours (Å) after each atom.
Space group P4/mmm (No. 123)
Inequivalent atoms, fractional coordinates:
Sr 0.0000 0.0000 0.0000 x1  8 In 3.91, 4 S 4.01
In 0.0000 0.5000 0.5000 x2  2 Sn 2.84
Sn 0.5000 0.5000 0.5000 x1  2 S 2.70, 4 In 2.84
S 0.5000 0.5000 0.0000 x1  2 Sn 2.70

Results
For the total energy, the calculation gives -3.087 eV/atom. The mass density is 4.474 Mg/m³. For the raw formation energy, the calculation gives -0.0287 eV/atom. For the volume, the calculation gives 174 Å³ per cell. The calculation puts the magnetization at 0.0000 μB per atom.

No. 17
An optimized crystal structure of SrTcIr, computed with PBE.

a b c (Å): 9.5735 5.8781 5.2042
angles (deg): 90.00 122.42 90.00
With the nearest neighbours (Å) after each atom.
Space group Cm (No. 8)
Inequivalent atoms, fractional coordinates:
Sr 0.0000 0.0000 0.0000 x2  6 Ir 3.14-3.42, 2 Sr 3.28-3.32, 6 Tc 3.30-3.41
Sr 0.2504 0.0000 0.7520 x2  6 Ir 3.16-3.32, 6 Tc 3.19-3.52, 2 Sr 3.28-3.32
Tc 0.0989 0.5000 0.8067 x2  1 Tc 2.42, 2 Ir 2.52
Tc 0.1521 0.5000 0.3164 x2  1 Tc 2.42, 2 Ir 2.53
Ir 0.3829 0.2461 0.3828 x4  2 Tc 2.52-2.53

Results
Its formation energy is 0.06 eV per atom. For the total energy, the calculation gives -6.914 eV/atom. The mass density is 10.152 Mg/m³. For the volume, the calculation gives 247 Å³ per cell. The calculation puts the magnetization at 0.0001 μB per atom.

No. 18
An optimized crystal structure of Pr4DyY2Sc, computed with PBE.

a b c (Å): 5.1423 5.1549 9.9458
angles (deg): 90.00 90.00 90.00
With the nearest neighbours (Å) after each atom.
Space group Pmmm (No. 47)
Inequivalent atoms, fractional coordinates:
Pr 0.0000 0.0000 0.2449 x2  2 Sc 3.54, 4 Y 3.55-3.61, 2 Dy 3.62, 4 Pr 3.64
Pr 0.5000 0.5000 0.2449 x2  4 Y 3.54-3.62, 2 Sc 3.55, 2 Dy 3.61, 4 Pr 3.64
Dy 0.0000 0.5000 0.5000 x1  8 Pr 3.61-3.62, 4 Y 3.64
Y 0.0000 0.5000 0.0000 x1  8 Pr 3.54-3.55, 4 Sc 3.64
Y 0.5000 0.0000 0.5000 x1  8 Pr 3.61-3.62, 4 Dy 3.64
Sc 0.5000 0.0000 0.0000 x1  8 Pr 3.54-3.55, 4 Y 3.64

Results
Its formation energy is 0.03 eV per atom. For the total energy, the calculation gives -5.343 eV/atom. The mass density is 5.977 Mg/m³. For the volume, the calculation gives 264 Å³ per cell. The calculation puts the magnetization at 0.0000 μB per atom.

No. 19
An optimized crystal structure of Ac2Bi3Rh2, computed with PBE.

a b c (Å): 4.6462 23.3980 7.3478
angles (deg): 90.00 90.00 90.00
With the nearest neighbours (Å) after each atom.
Space group Cmcm (No. 63)
Inequivalent atoms, fractional coordinates:
Ac 0.0000 0.0103 0.2500 x4  8 Bi 3.50-3.71, 2 Ac 3.71
Ac 0.0000 0.1748 0.7500 x4  6 Rh 3.13-3.23
Bi 0.0000 0.2074 0.2500 x4  6 Rh 2.81-2.84
Bi 0.0000 0.4128 0.0078 x8  1 Rh 2.89
Rh 0.0000 0.2900 0.5338 x8  4 Bi 2.81-2.89, 2 Rh 3.03, 1 Ac 3.13

Results
Its formation energy is -0.58 eV per atom. For the total energy, the calculation gives -5.521 eV/atom. The mass density is 10.700 Mg/m³. For the volume, the calculation gives 799 Å³ per cell. The calculation puts the magnetization at 0.0000 μB per atom.

No. 20
An optimized crystal structure of SmThOsPd, computed with PBE.

a b c (Å): 7.1215 7.1215 7.1215
angles (deg): 90.00 90.00 90.00
With the nearest neighbours (Å) after each atom.
Space group F-43m (No. 216)
Inequivalent atoms, fractional coordinates:
Sm 0.0000 0.0000 0.0000 x4  4 Os 3.08, 4 Pd 3.08
Th 0.0000 0.0000 0.5000 x4  4 Pd 3.08, 4 Os 3.08
Os 0.2500 0.2500 0.7500 x4  4 Th 3.08, 4 Sm 3.08
Pd 0.2500 0.2500 0.2500 x4  4 Th 3.08, 4 Sm 3.08

Results
Its formation energy is -0.45 eV per atom. For the total energy, the calculation gives -7.588 eV/atom. The mass density is 12.488 Mg/m³. For the volume, the calculation gives 361 Å³ per cell. The calculation puts the magnetization at 0.0000 μB per atom.